This record from the Alexandria database describes a geometry-optimized Ca2TbPr structure. The functional is PBE.

- symmetry = No. 160
- ΔE to the lowest computed polymorph (meV/atom) = 65
- N(E_F) (states/eV/f.u.) = 7.22
- calculated volume (Å³ per cell) = 442.1
- formation energy (eV/f.u.) = 0.43

Cell lengths 3.703, 3.703, 37.223 Å; angles 90.00, 90.00, 120.00 degrees
Element x y z (fractional)
Ca 0.000 0.000 0.000
Ca 0.000 0.000 0.168
Ca 0.333 0.667 0.667
Ca 0.333 0.667 0.835
Ca 0.667 0.333 0.333
Ca 0.667 0.333 0.502
Tb 0.000 0.000 0.584
Tb 0.333 0.667 0.250
Tb 0.667 0.333 0.917
Pr 0.000 0.000 0.418
Pr 0.333 0.667 0.084
Pr 0.667 0.333 0.751